(1)
## SrPmNi2P2 (PBE)

Data for an optimized crystal structure of SrPmNi2P2.

Structure (extended XYZ):
```
6
Lattice="-3.5517 1.1031 1.3516 0.2782 -2.1282 -3.3245 -0.4921 -7.1148 4.5133" Properties=species:S:1:pos:R:3 pbc="T T T"
P -2.6370 -5.2070 3.1126
P -1.1286 -2.9328 -0.5721
Ni -1.3598 -6.2750 1.5481
Pm -0.2461 -3.5574 2.2567
Ni -2.4059 -1.8648 0.9924
Sr 0.0000 0.0000 0.0000
```

Results
uncorrected energy	-5.83	eV per atom
E_form	-1.03	eV/atom
symmetry	No. 164

(2)
## Pm2TcNi3P4 (PBE)

Data for an optimized crystal structure of Pm2TcNi3P4.

Structure (extended XYZ):
```
10
Lattice="-1.8281 3.5765 -0.4314 -0.0201 -0.4939 -4.0094 -8.3917 -4.2216 0.5620" Properties=species:S:1:pos:R:3 pbc="T T T"
P -0.9241 1.5413 -2.2204
P 0.0000 0.0000 0.0000
Pm -6.4196 -3.4714 -1.5754
P -3.0576 -1.7801 -1.8006
Tc -5.1199 -0.5695 -1.9394
Ni -8.3551 -1.9551 0.2826
Pm -2.8962 0.7911 -0.0830
Ni -0.9607 -0.7252 -1.9410
Ni -4.1959 -2.1108 0.2810
P -6.2582 -0.9002 0.1422
```

Results
uncorrected energy	-6.84	eV per atom
E_form	-0.95	eV/atom
symmetry	No. 115

(3)
## PmTcNiP2 (PBE)

Data for an optimized crystal structure of PmTcNiP2.

Structure (extended XYZ):
```
5
Lattice="-2.2093 3.0518 -0.7663 -0.8185 -1.4614 -3.4606 -2.9381 -3.4701 4.2960" Properties=species:S:1:pos:R:3 pbc="T T T"
Ni -2.6352 -2.0682 -0.6390
P -3.2477 -1.9513 1.5922
Pm 0.0000 0.0000 0.0000
Tc -3.3306 0.1884 0.7082
P -2.7181 0.0716 -1.5230
```

Results
uncorrected energy	-7.25	eV per atom
E_form	-0.91	eV/atom
symmetry	No. 119

(4)
## Pm4NiTe2P (PBE)

Data for an optimized crystal structure of Pm4NiTe2P.

Structure (extended XYZ):
```
8
Lattice="4.1858 0.0000 0.0000 0.0000 7.4102 0.1454 0.0000 -2.5766 7.1720" Properties=species:S:1:pos:R:3 pbc="T T T"
Te 2.0929 -1.2883 3.5860
Pm 2.0929 1.1827 1.5439
Pm 2.0929 3.6509 5.7735
Te 0.0000 2.4168 3.6587
P 2.0929 3.7051 0.0727
Ni 0.0000 0.0000 0.0000
Pm 0.0000 4.8930 1.6647
Pm 0.0000 -0.0594 5.6527
```

Results
uncorrected energy	-5.71	eV per atom
symmetry	No. 10
energy relative to the elements, uncorrected	-1155	meV per atom

(5)
## Pm8NiTe4P3 (PBE)

Data for an optimized crystal structure of Pm8NiTe4P3.

Structure (extended XYZ):
```
16
Lattice="-2.9509 3.7389 -7.0152 -1.0885 -7.8147 -3.7071 -3.6555 1.5574 7.4923" Properties=species:S:1:pos:R:3 pbc="T T T"
Pm -5.0497 -3.1744 3.0138
Pm -6.5362 -1.2910 -0.5201
Pm -4.4841 1.4404 -2.4707
Te -1.8277 0.7787 3.7461
P -3.8475 -1.2592 -1.6150
Ni -0.5442 -3.9073 -1.8535
Pm -3.0059 -0.4467 1.0264
Te -1.4755 1.8694 -3.5076
Pm -2.6452 0.6559 -6.2438
P -2.3720 -3.1287 1.8926
Te 0.0000 0.0000 0.0000
Pm -4.6890 -2.0718 -4.2564
Te -3.3032 2.6481 0.2385
Pm -1.1587 -1.2275 -2.7100
P -2.0197 -2.0379 -5.3611
Pm -3.2108 -3.9589 -0.7593
```

Results
uncorrected energy	-5.90	eV per atom
symmetry	No. 166
energy relative to the elements, uncorrected	-1362	meV per atom

(6)
## PmTiNi2P2 (PBE)

Data for an optimized crystal structure of PmTiNi2P2.

Structure (extended XYZ):
```
6
Lattice="3.8325 0.0000 0.0000 -1.9162 3.3190 0.0000 0.0000 0.0000 7.3205" Properties=species:S:1:pos:R:3 pbc="T T T"
Ni 0.0000 2.2127 5.1585
Pm 0.0000 0.0000 0.0000
P 0.0000 2.2127 2.0262
P 1.9162 1.1063 5.2943
Ni 1.9162 1.1063 2.1620
Ti 0.0000 0.0000 3.6602
```

Results
uncorrected energy	-6.87	eV per atom
E_form	-1.03	eV/atom
symmetry	No. 164

(7)
## PmTiNiP2 (PBE)

Data for an optimized crystal structure of PmTiNiP2.

Structure (extended XYZ):
```
5
Lattice="3.8656 0.0000 0.0000 0.0000 3.8656 0.0000 -1.9328 -1.9328 5.7294" Properties=species:S:1:pos:R:3 pbc="T T T"
Pm 0.0000 0.0000 0.0000
P 0.0000 0.0000 4.2583
Ni 0.0000 1.9328 2.8647
P 1.9328 1.9328 1.4711
Ti 1.9328 0.0000 2.8647
```

Results
uncorrected energy	-6.88	eV per atom
E_form	-1.03	eV/atom
symmetry	No. 119

(8)
## PmVNiP2 (PBE)

Data for an optimized crystal structure of PmVNiP2.

Structure (extended XYZ):
```
5
Lattice="-0.6446 3.5728 1.3738 -1.4632 -1.5174 3.2595 5.9770 -0.9951 -0.0914" Properties=species:S:1:pos:R:3 pbc="T T T"
Pm 0.0000 0.0000 0.0000
P 3.6076 0.0239 1.6306
Ni 1.7299 -0.7424 2.7423
V 2.1392 1.8027 1.7995
P 0.2615 1.0364 2.9112
```

Results
uncorrected energy	-7.03	eV per atom
E_form	-0.94	eV/atom
symmetry	No. 119

(9)
## PmYNi2P2 (PBE)

Data for an optimized crystal structure of PmYNi2P2.

Structure (extended XYZ):
```
6
Lattice="3.9146 0.0000 0.0000 -1.9573 3.3901 0.0000 0.0000 0.0000 7.9358" Properties=species:S:1:pos:R:3 pbc="T T T"
P 1.9573 1.1300 5.8944
Ni 0.0000 2.2601 5.9216
Pm 0.0000 0.0000 0.0000
P 0.0000 2.2601 2.0413
Y 0.0000 0.0000 3.9679
Ni 1.9573 1.1300 2.0142
```

Results
uncorrected energy	-6.80	eV per atom
E_form	-1.20	eV/atom
symmetry	No. 164

(10)
## PmZn2Ni2P (PBE)

Data for an optimized crystal structure of PmZn2Ni2P.

Structure (extended XYZ):
```
6
Lattice="4.2651 0.0000 0.0000 0.0000 4.2651 0.0000 0.0000 0.0000 5.5346" Properties=species:S:1:pos:R:3 pbc="T T T"
Zn 2.1325 2.1325 4.0591
Ni 0.0000 2.1325 0.0000
Ni 2.1325 0.0000 0.0000
P 0.0000 0.0000 0.0000
Zn 2.1325 2.1325 1.4754
Pm 0.0000 0.0000 2.7673
```

Results
uncorrected energy	-4.53	eV per atom
E_form	-0.48	eV/atom
symmetry	No. 123

(11)
## PmZnNi2P2 (PBE)

Data for an optimized crystal structure of PmZnNi2P2.

Structure (extended XYZ):
```
6
Lattice="-0.6368 -1.4135 -3.6396 2.3587 -1.9604 2.4986 -5.2463 -3.4397 2.2538" Properties=species:S:1:pos:R:3 pbc="T T T"
P -1.0765 -2.5387 -0.9757
Pm 0.0000 0.0000 0.0000
Ni -0.4434 -2.9606 1.2274
Zn -2.6231 -1.7198 1.1269
P -2.4479 -4.2748 2.0885
Ni -3.0810 -3.8530 -0.1145
```

Results
uncorrected energy	-5.49	eV per atom
E_form	-0.76	eV/atom
symmetry	No. 164

(12)
## Pm2ZnNi3P4 (PBE)

Data for an optimized crystal structure of Pm2ZnNi3P4.

Structure (extended XYZ):
```
10
Lattice="-2.8627 -1.6997 2.3278 -1.8882 -1.3728 -3.3245 5.0469 -7.9371 0.4110" Properties=species:S:1:pos:R:3 pbc="T T T"
Pm -0.2203 -2.7544 1.2625
P 0.0000 0.0000 0.0000
Pm 2.8917 -6.7190 -1.3499
P 1.8126 -5.9515 1.4281
P 0.8588 -3.5219 -1.5154
Ni 2.5234 -3.9686 0.2055
P -2.3754 -1.5363 -0.4984
Ni -0.3837 -1.5678 -1.6166
Ni 3.0551 -7.9056 1.5293
Zn 0.1480 -5.5048 -0.2928
```

Results
uncorrected energy	-5.85	eV per atom
E_form	-0.88	eV/atom
symmetry	No. 115

(13)
## PmZrNi2P2 (PBE)

Data for an optimized crystal structure of PmZrNi2P2.

Structure (extended XYZ):
```
6
Lattice="3.8500 0.0000 0.0000 -1.9250 3.3342 0.0000 0.0000 0.0000 7.7046" Properties=species:S:1:pos:R:3 pbc="T T T"
Ni 0.0000 2.2228 5.5836
P 1.9250 1.1114 5.6527
P 0.0000 2.2228 2.0520
Zr 0.0000 0.0000 3.8523
Ni 1.9250 1.1114 2.1211
Pm 0.0000 0.0000 0.0000
```

Results
uncorrected energy	-7.09	eV per atom
E_form	-1.15	eV/atom
symmetry	No. 164

(14)
## Pr2NiP (PBE)

Data for an optimized crystal structure of Pr2NiP.

Structure (extended XYZ):
```
4
Lattice="4.1060 0.0000 0.0000 2.0530 3.5559 0.0000 2.0530 1.1853 6.9833" Properties=species:S:1:pos:R:3 pbc="T T T"
Pr 2.0530 1.1853 1.7326
P 0.0000 0.0000 0.0000
Ni 4.1060 2.3706 3.4917
Pr 6.1590 3.5559 5.2507
```

Results
uncorrected energy	-5.90	eV per atom
E_form	-0.71	eV/atom
symmetry	No. 166

(15)
## PrNi5P3 (PBE)

Data for an optimized crystal structure of PrNi5P3.

Structure (extended XYZ):
```
18
Lattice="3.6236 0.0000 0.0000 -1.8118 5.8421 0.0000 0.0000 0.0000 11.5010" Properties=species:S:1:pos:R:3 pbc="T T T"
Ni 1.8118 3.5137 0.8045
Ni 0.0000 2.3285 6.5550
P 0.0000 4.4656 11.0465
P 0.0000 1.3598 8.6257
Ni 1.8118 3.5137 4.9460
P 1.8118 4.4824 2.8752
Ni 0.0000 2.3285 10.6965
Ni 0.0000 0.0000 0.0000
P 0.0000 4.4656 6.2050
Ni 0.0000 0.0000 5.7505
P 1.8118 1.3765 5.2960
Ni 0.0000 5.2434 4.0803
Pr 1.8118 3.9652 8.6257
P 1.8118 1.3765 0.4545
Ni 0.0000 5.2434 1.6702
Ni 1.8118 0.5987 7.4207
Pr 0.0000 1.8770 2.8752
Ni 1.8118 0.5987 9.8307
```

Results
uncorrected energy	-6.33	eV per atom
E_form	-0.79	eV/atom
symmetry	No. 63

(16)
## PrNi12P6 (PBE)

Data for an optimized crystal structure of PrNi12P6.

Structure (extended XYZ):
```
19
Lattice="-2.3119 4.3909 4.1537 4.3521 -3.2775 3.4923 3.6152 3.4931 -4.0752" Properties=species:S:1:pos:R:3 pbc="T T T"
Ni 2.4284 3.7192 3.0911
Ni 0.6264 2.6367 4.8415
P 2.7454 1.9974 4.5033
P 2.9099 2.6091 -0.9326
Ni 5.3025 -0.5447 1.5397
Ni 3.2269 0.8873 0.4796
P 5.3276 1.6062 0.9183
Ni 3.1013 -0.2113 4.5958
Ni 2.5540 4.8178 -1.0251
P 2.4244 4.9471 1.2064
Ni 1.5821 1.1365 2.7633
Ni 1.3775 3.0155 0.6632
Ni 4.0733 3.4700 0.8074
Ni 4.2778 1.5910 2.9076
Ni 0.3528 5.1512 2.0310
P 3.2309 -0.3406 2.3643
Pr 0.0000 0.0000 0.0000
Ni 5.0289 1.9698 -1.2707
P 0.3277 3.0003 2.6525
```

Results
uncorrected energy	-6.16	eV per atom
E_form	-0.55	eV/atom
symmetry	No. 166

(17)
## PrNi3P (PBE)

Data for an optimized crystal structure of PrNi3P.

Structure (extended XYZ):
```
5
Lattice="4.3307 0.0000 0.0000 0.0000 4.3307 0.0000 0.0000 0.0000 4.3307" Properties=species:S:1:pos:R:3 pbc="T T T"
Ni 2.1653 0.0000 0.0000
P 0.0000 0.0000 0.0000
Ni 0.0000 2.1653 0.0000
Pr 2.1653 2.1653 2.1653
Ni 0.0000 0.0000 2.1653
```

Results
uncorrected energy	-5.97	eV per atom
polymorph energy (0 for the lowest one)	0.000	eV/atom
E_form	-0.46	eV/atom
symmetry	No. 221

(18)
## Pr2Ni5P4 (PBE)

Data for an optimized crystal structure of Pr2Ni5P4.

Structure (extended XYZ):
```
11
Lattice="5.4289 0.0000 0.0000 2.7144 4.8736 0.0000 2.7144 0.0000 6.3686" Properties=species:S:1:pos:R:3 pbc="T T T"
Ni 6.7861 2.4368 3.1843
Pr 2.7144 0.0000 4.5338
Ni 1.3572 2.4368 0.0000
Ni 4.0717 2.4368 3.1843
P 5.4289 3.3506 1.6416
P 5.4289 1.5230 4.7271
Pr 5.4289 0.0000 1.8349
Ni 2.7144 0.0000 0.0000
P 8.1433 3.3506 4.7271
P 2.7144 1.5230 1.6416
Ni 4.0717 2.4368 0.0000
```

Results
uncorrected energy	-6.26	eV per atom
E_form	-0.79	eV/atom
symmetry	No. 69

(19)
## Pr6Ni20P13 (PBE)

Data for an optimized crystal structure of Pr6Ni20P13.

Structure (extended XYZ):
```
39
Lattice="-6.3288 -2.4864 -10.8792 12.7985 -0.8331 0.3097 -0.2665 -3.7201 1.0052" Properties=species:S:1:pos:R:3 pbc="T T T"
P 7.9311 -3.7790 -4.4611
Ni 0.0470 -1.9353 -7.1496
Ni -0.0749 -2.2812 -1.0404
Ni 3.3725 -3.8010 -5.7508
Pr 8.6427 -1.3799 -2.8154
Ni 2.3176 -2.7175 -2.0207
Ni 1.9094 -0.3786 -0.8950
P -4.3031 -1.9331 -8.2944
P 10.6938 -3.2354 -1.7167
Ni 7.4089 -4.3493 -6.7099
Ni 6.3469 -2.7534 -8.5069
Ni -5.1093 -4.2149 -9.5312
Ni 11.0120 -1.0207 -0.8580
Pr 5.8179 -1.9228 -5.5736
Pr 4.8076 -0.8499 -1.8709
P 6.8768 -2.6992 -0.7444
Ni 6.2895 -3.2443 -2.9173
Pr 1.5343 -4.3314 -8.2009
P 1.2677 -0.8876 -2.9488
Ni -1.0694 -4.6256 -9.9801
P 3.1764 -2.9853 -10.2055
P 4.0606 -3.2547 -3.5466
P 3.0840 -2.1844 0.1552
Ni 8.9427 -2.2083 -5.8018
Pr 0.5204 -3.2550 -4.4863
Ni 3.9248 -2.4619 -8.0703
Ni -2.7785 -2.4910 -9.9550
Ni 7.3351 -0.5465 -0.0780
Ni 2.9905 -1.3978 -4.3801
Pr -2.3134 -3.7998 -7.2536
P 5.0908 -4.3131 -7.1905
P -0.5496 -2.4772 -9.3130
Ni -2.5618 -2.9595 -4.2100
Ni 9.1421 -2.6661 -0.0214
P 2.2718 -1.9281 -6.5331
P 0.0000 0.0000 0.0000
P -1.5812 -1.4007 -5.6027
Ni 4.9255 -4.8900 -9.3693
Ni -1.0053 -0.8531 -3.4235
```

Results
uncorrected energy	-6.36	eV per atom
E_form	-0.86	eV/atom
symmetry	No. 174

(20)
## PrNiP (PBE)

Data for an optimized crystal structure of PrNiP.

Structure (extended XYZ):
```
12
Lattice="1.9870 0.9333 -3.3222 -2.6962 2.5268 1.4837 11.6868 7.1813 9.0073" Properties=species:S:1:pos:R:3 pbc="T T T"
Ni 10.6669 7.7574 6.1727
Ni 3.2624 4.6979 3.2711
P 6.1774 6.4891 5.5177
Pr 0.0000 0.0000 0.0000
P 9.0825 8.2742 7.7567
Pr 5.8434 3.5907 4.5036
Pr 8.7651 5.3860 6.7554
P 4.8001 4.1524 1.6511
Ni 7.7151 5.9436 3.8977
Ni 0.3106 2.8841 0.9961
Pr 2.9217 1.7953 2.2518
P 1.8950 2.3673 -0.5879
```

Results
uncorrected energy	-6.45	eV per atom
E_form	-1.13	eV/atom
symmetry	No. 194